No. 1
A relaxed structure of DyGaNi, computed with PBE.

The value obtained for the total moment is 0.00 μB per formula unit. The electronic total energy is -60.582 eV/cell. Its space group is No. 62.

abc: 6.862 4.307 7.288
angles: 90.00 90.00 90.00
Element x y z (fractional)
Dy 0.020 0.250 0.198
Dy 0.480 0.750 0.698
Dy 0.520 0.250 0.302
Dy 0.980 0.750 0.802
Ga 0.183 0.250 0.580
Ga 0.317 0.750 0.080
Ga 0.683 0.250 0.920
Ga 0.817 0.750 0.420
Ni 0.204 0.750 0.408
Ni 0.296 0.250 0.908
Ni 0.704 0.750 0.092
Ni 0.796 0.250 0.592

=====

No. 2
A relaxed structure of Dy3Ga2Ni6, computed with PBE.

The value obtained for the total moment is 0.03 μB per formula unit. The electronic total energy is -118.894 eV/cell. Its space group is No. 229.

abc: 7.698 7.698 7.698
angles: 109.47 109.47 109.47
Element x y z (fractional)
Dy 0.000 0.291 0.291
Dy 0.000 0.709 0.709
Dy 0.291 0.000 0.291
Dy 0.291 0.291 0.000
Dy 0.709 0.000 0.709
Dy 0.709 0.709 0.000
Ga 0.000 0.000 0.500
Ga 0.000 0.500 0.000
Ga 0.500 0.000 0.000
Ga 0.500 0.500 0.500
Ni 0.000 0.337 0.663
Ni 0.000 0.663 0.337
Ni 0.326 0.663 0.663
Ni 0.337 0.000 0.663
Ni 0.337 0.337 0.674
Ni 0.337 0.663 0.000
Ni 0.337 0.674 0.337
Ni 0.663 0.000 0.337
Ni 0.663 0.326 0.663
Ni 0.663 0.337 0.000
Ni 0.663 0.663 0.326
Ni 0.674 0.337 0.337

=====

No. 3
A relaxed structure of DyGa6Ni6, computed with PBE.

The value obtained for the total moment is 0.02 μB per formula unit. The electronic total energy is -62.553 eV/cell. Its space group is No. 71.

abc: 6.490 6.490 6.490
angles: 134.52 101.07 96.13
Element x y z (fractional)
Dy 0.000 0.000 0.000
Ga 0.186 0.686 0.500
Ga 0.343 0.000 0.343
Ga 0.345 0.345 0.000
Ga 0.655 0.655 0.000
Ga 0.657 0.000 0.657
Ga 0.814 0.314 0.500
Ni 0.000 0.000 0.500
Ni 0.000 0.500 0.000
Ni 0.238 0.500 0.738
Ni 0.500 0.000 0.000
Ni 0.500 0.500 0.500
Ni 0.762 0.500 0.262

=====

Question: What is the total moment in the first record?
Answer: 0.00 μB per formula unit